The following is a DFT calculation (PBE with a Hubbard U) of a relaxed VWO2 crystal.

a = 4.1011 Å, b = 4.1011 Å, c = 12.3949 Å
α = 90.00°, β = 90.00°, γ = 90.00°
Fractional coordinates of all 16 atoms:
V 0.0000 0.0000 0.0000
V 0.0000 0.5000 0.2500
V 0.5000 0.0000 0.7500
V 0.5000 0.5000 0.5000
W 0.0000 0.0000 0.5000
W 0.0000 0.5000 0.7500
W 0.5000 0.0000 0.2500
W 0.5000 0.5000 0.0000
O 0.2359 0.2500 0.6250
O 0.2500 0.7359 0.8750
O 0.2500 0.7641 0.3750
O 0.2641 0.2500 0.1250
O 0.7359 0.7500 0.1250
O 0.7500 0.2359 0.3750
O 0.7500 0.2641 0.8750
O 0.7641 0.7500 0.6250

Output
As for the symmetry: No. 122. The value obtained for the theoretical density is 8.50 Mg/m³. Its distance to the lowest polymorph of the same formula is 0.3777 eV per atom.